# 1
Below is an optimized crystal structure of LaMoSeBr2, with properties calculated at the PBE-GGA level.

Results
Its theoretical density is 6.0 Mg/m³. For the total DFT energy (no corrections), the calculation gives -24.63 eV per cell. Its polymorph energy (0 for the lowest one) is 0.000 eV per atom. The total magnetic moment is 1.9 μB/cell.

Cell lengths 5.0697, 5.0697, 5.1204 Å; angles 90.00, 90.00, 90.00 degrees
Closest atoms and distances in Å follow each position.
Space group P4/mmm (No. 123)
Unique sites:
1 La 0.0000 0.0000 0.0000  4 Se 3.58, 8 Br 3.60
2 Mo 0.5000 0.5000 0.5000  4 Br 2.53, 2 Se 2.56
3 Se 0.5000 0.5000 0.0000  2 Mo 2.56
4 Br 0.0000 0.5000 0.5000  2 Mo 2.53



# 2
Below is an optimized crystal structure of Cu2TcRh5, with properties calculated at the PBE-GGA level.

Results
The value obtained for the calculated formation energy is -0.02 eV per atom. Its theoretical density is 11.1 Mg/m³. For the total DFT energy (no corrections), the calculation gives -111.03 eV per cell. The total magnetic moment is 0.0 μB/cell.

Cell lengths 3.8809, 3.8809, 14.6462 Å; angles 90.00, 90.00, 90.00 degrees
Closest atoms and distances in Å follow each position.
Space group I4/mmm (No. 139)
Unique sites:
1 Cu 0.0000 0.0000 0.2487  8 Rh 2.65-2.68, 4 Cu 2.74
2 Tc 0.0000 0.0000 0.5000  12 Rh 2.67-2.74
3 Rh 0.0000 0.0000 0.0000  8 Rh 2.67, 4 Tc 2.74
4 Rh 0.0000 0.5000 0.1256  4 Cu 2.65-2.68, 2 Tc 2.67, 6 Rh 2.67-2.74



# 3
Below is an optimized crystal structure of HgBOs2, with properties calculated at the PBE-GGA level.

Results
The value obtained for the calculated formation energy is 1.43 eV per atom. Its theoretical density is 17.3 Mg/m³. For the total DFT energy (no corrections), the calculation gives -94.81 eV per cell. Its polymorph energy (0 for the lowest one) is 0.316 eV per atom. The total magnetic moment is 0.0 μB/cell.

Cell lengths 6.0971, 6.0971, 6.0971 Å; angles 90.00, 90.00, 90.00 degrees
Closest atoms and distances in Å follow each position.
Space group Fm-3m (No. 225)
Unique sites:
1 Hg 0.0000 0.0000 0.0000  8 Os 2.64
2 B 0.0000 0.0000 0.5000  8 Os 2.64
3 Os 0.2500 0.2500 0.2500  4 B 2.64, 4 Hg 2.64



# 4
Below is an optimized crystal structure of Hf3TiRh6, with properties calculated at the PBE-GGA level.

Results
The value obtained for the calculated formation energy is -0.83 eV per atom. Its theoretical density is 12.3 Mg/m³. For the total DFT energy (no corrections), the calculation gives -180.40 eV per cell. The total magnetic moment is 0.0 μB/cell.

Cell lengths 7.7467, 4.5587, 9.8749 Å; angles 90.00, 111.04, 90.00 degrees
Closest atoms and distances in Å follow each position.
Space group P2_1/m (No. 11)
Unique sites:
1 Hf 0.0168 0.2500 0.3767  9 Rh 2.68-2.93
2 Hf 0.1351 0.7500 0.1986  7 Rh 2.56-2.80
3 Hf 0.3018 0.2500 0.9855  9 Rh 2.70-2.94
4 Ti 0.4476 0.2500 0.5864  8 Rh 2.51-2.75
5 Rh 0.0440 0.7500 0.9125  6 Hf 2.65-2.94, 1 Rh 2.81
6 Rh 0.1777 0.2500 0.6697  1 Ti 2.51, 3 Hf 2.68-2.71, 2 Rh 2.78
7 Rh 0.2518 0.7500 0.4956  3 Ti 2.71-2.73, 4 Hf 2.74-2.89, 2 Rh 2.99-3.02
8 Rh 0.3483 0.7500 0.8205  4 Hf 2.70-2.90, 8 Rh 2.78-3.02
9 Rh 0.3527 0.2500 0.3046  3 Ti 2.61-2.75, 2 Hf 2.80
10 Rh 0.4326 0.7500 0.1411  1 Ti 2.51, 4 Hf 2.56-2.76, 2 Rh 2.79



# 5
Below is an optimized crystal structure of FeMo3N, with properties calculated at the PBE-GGA level.

Results
Its theoretical density is 8.9 Mg/m³. For the total DFT energy (no corrections), the calculation gives -48.93 eV per cell. Its polymorph energy (0 for the lowest one) is 0.000 eV per atom. The total magnetic moment is 0.0 μB/cell.

Cell lengths 4.0582, 4.0582, 4.0582 Å; angles 90.00, 90.00, 90.00 degrees
Closest atoms and distances in Å follow each position.
Space group Pm-3m (No. 221)
Unique sites:
1 Fe 0.0000 0.0000 0.0000  12 Mo 2.87
2 Mo 0.0000 0.5000 0.5000  2 N 2.03
3 N 0.5000 0.5000 0.5000  6 Mo 2.03



# 6
Below is an optimized crystal structure of Ce2PdBr, with properties calculated at the PBE-GGA level.

Results
Its theoretical density is 6.9 Mg/m³. For the total DFT energy (no corrections), the calculation gives -66.29 eV per cell. Its polymorph energy (0 for the lowest one) is 0.000 eV per atom. The total magnetic moment is 7.2 μB/cell.

Cell lengths 4.1711, 4.1711, 22.3699 Å; angles 90.00, 90.00, 120.00 degrees
Closest atoms and distances in Å follow each position.
Space group R-3m (No. 166, hexagonal axes)
Unique sites:
1 Ce 0.0000 0.0000 0.2389  3 Pd 2.90, 3 Br 3.20
2 Pd 0.0000 0.0000 0.5000  6 Ce 2.90
3 Br 0.0000 0.0000 0.0000  6 Ce 3.20



# 7
Below is an optimized crystal structure of CaPuZnHg, with properties calculated at the PBE-GGA level.

Results
The value obtained for the calculated formation energy is -0.17 eV per atom. Its theoretical density is 8.9 Mg/m³. For the total DFT energy (no corrections), the calculation gives -74.40 eV per cell. The total magnetic moment is 24.1 μB/cell.

Cell lengths 7.4382, 7.4382, 7.4382 Å; angles 90.00, 90.00, 90.00 degrees
Closest atoms and distances in Å follow each position.
Space group F-43m (No. 216)
Unique sites:
1 Ca 0.0000 0.0000 0.0000  4 Hg 3.22, 4 Zn 3.22
2 Pu 0.0000 0.0000 0.5000  4 Zn 3.22, 4 Hg 3.22
3 Zn 0.2500 0.2500 0.2500  4 Ca 3.22, 4 Pu 3.22
4 Hg 0.2500 0.2500 0.7500  4 Pu 3.22, 4 Ca 3.22



# 8
Below is an optimized crystal structure of SrCdHgBi2, with properties calculated at the PBE-GGA level.

Results
The value obtained for the calculated formation energy is -0.26 eV per atom. Its theoretical density is 7.8 Mg/m³. For the total DFT energy (no corrections), the calculation gives -23.97 eV per cell. The total magnetic moment is 0.0 μB/cell.

Cell lengths 6.7400, 6.2158, 8.4461 Å; angles 90.00, 101.77, 90.00 degrees
Closest atoms and distances in Å follow each position.
Space group P2/c (No. 13)
Unique sites:
1 Sr 0.0000 0.1547 0.2500  6 Bi 3.40-3.69, 2 Hg 3.72
2 Cd 0.5000 0.4495 0.2500  4 Bi 3.12
3 Hg 0.5000 0.0000 0.0000  2 Bi 2.86
4 Bi 0.1965 0.3285 0.9321  1 Hg 2.86, 2 Cd 3.12



# 9
Below is an optimized crystal structure of Ac2Sn4Ir3Au, with properties calculated at the PBE-GGA level.

Results
The value obtained for the calculated formation energy is -0.58 eV per atom. Its theoretical density is 11.9 Mg/m³. For the total DFT energy (no corrections), the calculation gives -59.90 eV per cell. The total magnetic moment is 0.0 μB/cell.

Cell lengths 4.6822, 4.6822, 10.8263 Å; angles 90.00, 90.00, 90.00 degrees
Closest atoms and distances in Å follow each position.
Space group P-4m2 (No. 115)
Unique sites:
1 Ac 0.0000 0.5000 0.2485  8 Sn 3.56-3.57, 6 Ir 3.56-3.59, 2 Au 3.59
2 Sn 0.0000 0.0000 0.0000  4 Ir 2.71
3 Sn 0.0000 0.5000 0.6311  3 Ir 2.62-2.74, 2 Au 2.74
4 Sn 0.5000 0.5000 0.0000  4 Ir 2.71
5 Ir 0.0000 0.5000 0.8732  5 Sn 2.62-2.71
6 Ir 0.5000 0.5000 0.5000  4 Sn 2.74
7 Au 0.0000 0.0000 0.5000  4 Sn 2.74



# 10
Below is an optimized crystal structure of Gd2YPt, with properties calculated at the PBE-GGA level.

Results
The value obtained for the calculated formation energy is -0.55 eV per atom. Its theoretical density is 9.0 Mg/m³. For the total DFT energy (no corrections), the calculation gives -42.89 eV per cell. Its polymorph energy (0 for the lowest one) is 0.000 eV per atom. The total magnetic moment is 14.8 μB/cell.

Cell lengths 3.6160, 3.6160, 8.4352 Å; angles 90.00, 90.00, 90.00 degrees
Closest atoms and distances in Å follow each position.
Space group P4/mmm (No. 123)
Unique sites:
1 Gd 0.0000 0.0000 0.1956  4 Pt 3.04, 1 Gd 3.30
2 Y 0.5000 0.5000 0.5000  4 Y 3.62, 8 Gd 3.62
3 Pt 0.5000 0.5000 0.0000  8 Gd 3.04



# 11
Below is an optimized crystal structure of In3Te, with properties calculated at the PBE-GGA level.

Results
Its theoretical density is 6.7 Mg/m³. For the total DFT energy (no corrections), the calculation gives -22.91 eV per cell. The total magnetic moment is 0.0 μB/cell.

Cell lengths 7.0864, 10.1837, 3.2352 Å; angles 90.00, 90.00, 90.00 degrees
Closest atoms and distances in Å follow each position.
Space group Cmmm (No. 65)
Unique sites:
1 In 0.0000 0.0000 0.0000  10 In 3.24-3.50, 2 Te 3.54
2 In 0.2500 0.2500 0.5000  8 In 3.24-3.54, 4 Te 3.50
3 Te 0.0000 0.5000 0.0000  2 Te 3.24, 10 In 3.50-3.54



# 12
Below is an optimized crystal structure of BeAlIn2, with properties calculated at the PBE-GGA level.

Results
The value obtained for the calculated formation energy is 0.41 eV per atom. Its theoretical density is 5.1 Mg/m³. For the total DFT energy (no corrections), the calculation gives -45.15 eV per cell. Its polymorph energy (0 for the lowest one) is 0.123 eV per atom. The total magnetic moment is 0.0 μB/cell.

Cell lengths 4.5319, 4.5319, 16.9118 Å; angles 90.00, 90.00, 90.00 degrees
Closest atoms and distances in Å follow each position.
Space group I-42d (No. 122)
Unique sites:
1 Be 0.0000 0.0000 0.0000  4 In 2.59
2 Al 0.0000 0.0000 0.5000  4 In 2.72
3 In 0.2180 0.2500 0.1250  2 Be 2.59, 2 Al 2.72